VASP calculation (PBE-GGA) on an optimized crystal structure of LiCePm2.

The structure in extended XYZ format:
```
4
Lattice="3.5701 0.0000 0.0000 0.0000 3.5701 0.0000 0.0000 0.0000 9.0979" Properties=species:S:1:pos:R:3 pbc="T T T"
Pm 0.0000 0.0000 6.9124
Pm 0.0000 0.0000 2.1855
Li 1.7851 1.7851 0.0000
Ce 1.7851 1.7851 4.5489
```

## Properties
- D(E_F): 5.3 states/eV/f.u.
- Total DFT energy (no corrections): -4.25 eV per atom
- Formation enthalpy at 0 K: 0.087 eV/atom
- Relative energy among the computed polymorphs: 0 meV per atom

=====

VASP calculation (PBE-GGA) on an optimized crystal structure of ZnCo2SbP.

The structure in extended XYZ format:
```
5
Lattice="4.4501 0.0000 0.0000 0.0000 5.0155 0.0000 0.0000 0.0000 4.4501" Properties=species:S:1:pos:R:3 pbc="T T T"
P 2.2251 2.5078 2.2251
Sb 0.0000 2.5078 0.0000
Zn 0.0000 0.0000 0.0000
Co 2.2251 0.0000 0.0000
Co 0.0000 0.0000 2.2251
```

## Properties
- D(E_F): 6.8 states/eV/f.u.
- Total DFT energy (no corrections): -3.75 eV per atom
- Formation energy (no corrections): 1.2487 eV per atom

=====

VASP calculation (PBE-GGA) on an optimized crystal structure of Tl2InCo.

The structure in extended XYZ format:
```
4
Lattice="-1.1713 3.0820 -6.8415 0.2051 0.4605 -7.5777 -3.7999 -1.5858 -1.4575" Properties=species:S:1:pos:R:3 pbc="T T T"
Tl -1.1843 3.1486 -13.4243
In -3.5746 1.4675 -11.9075
Co -1.1915 0.4892 -3.9692
Tl -2.1651 1.3722 -8.9332
```

## Properties
- D(E_F): 2.3 states/eV/f.u.
- Total DFT energy (no corrections): -3.42 eV per atom
- Formation enthalpy at 0 K: 0.227 eV/atom
- Relative energy among the computed polymorphs: 0 meV per atom

=====

VASP calculation (PBE-GGA) on an optimized crystal structure of ScTlMo2I.

The structure in extended XYZ format:
```
5
Lattice="5.0263 0.0000 0.0000 0.0000 5.6166 0.0000 0.0000 0.0000 5.0263" Properties=species:S:1:pos:R:3 pbc="T T T"
I 2.5131 2.8083 2.5131
Mo 0.0000 0.0000 2.5131
Mo 2.5131 0.0000 0.0000
Tl 0.0000 2.8083 0.0000
Sc 0.0000 0.0000 0.0000
```

## Properties
- D(E_F): 6.0 states/eV/f.u.
- Total DFT energy (no corrections): -4.76 eV per atom
- Formation energy (no corrections): 1.6230 eV per atom